# 1
# Pm2Hg2Pt15

An optimized crystal structure of Pm2Hg2Pt15 (PBE-GGA, Alexandria).

a = 7.055 Å, b = 7.055 Å, c = 7.055 Å
α = 83.91°, β = 83.91°, γ = 83.91°
Positions (direct):
Pm (0.148, 0.148, 0.148)
Pm (0.852, 0.852, 0.852)
Hg (0.396, 0.396, 0.396)
Hg (0.604, 0.604, 0.604)
Pt (0.000, 0.500, 0.500)
Pt (0.157, 0.157, 0.667)
Pt (0.157, 0.667, 0.157)
Pt (0.179, 0.500, 0.821)
Pt (0.179, 0.821, 0.500)
Pt (0.333, 0.843, 0.843)
Pt (0.500, 0.000, 0.500)
Pt (0.500, 0.179, 0.821)
Pt (0.500, 0.500, 0.000)
Pt (0.500, 0.821, 0.179)
Pt (0.667, 0.157, 0.157)
Pt (0.821, 0.179, 0.500)
Pt (0.821, 0.500, 0.179)
Pt (0.843, 0.333, 0.843)
Pt (0.843, 0.843, 0.333)

Computed properties:
**DFT total energy**: -108.6 eV/cell
**E_form**: -415.1 meV/atom
**SG**: No. 166
**Total magnetic moment**: 0.0 μB/f.u.
**Density of states at the Fermi level**: 14.82 states/eV/f.u.



# 2
# Pm7HgPt4

An optimized crystal structure of Pm7HgPt4 (PBE-GGA, Alexandria).

a = 7.584 Å, b = 7.584 Å, c = 10.250 Å
α = 123.34°, β = 123.34°, γ = 43.32°
Positions (direct):
Pm (0.000, 0.000, 0.000)
Pm (0.165, 0.165, 0.606)
Pm (0.292, 0.292, 0.128)
Pm (0.424, 0.424, 0.648)
Pm (0.576, 0.576, 0.352)
Pm (0.708, 0.708, 0.872)
Pm (0.835, 0.835, 0.394)
Hg (0.500, 0.500, 0.000)
Pt (0.069, 0.069, 0.780)
Pt (0.210, 0.210, 0.336)
Pt (0.790, 0.790, 0.664)
Pt (0.931, 0.931, 0.220)

Computed properties:
**DFT total energy**: -65.8 eV/cell
**E_form**: -674.7 meV/atom
**SG**: No. 12
**Total magnetic moment**: 0.0 μB/f.u.
**Density of states at the Fermi level**: 10.58 states/eV/f.u.



# 3
# Pm4HgPt2

An optimized crystal structure of Pm4HgPt2 (PBE-GGA, Alexandria).

a = 8.194 Å, b = 8.194 Å, c = 8.194 Å
α = 109.48°, β = 109.48°, γ = 109.46°
Positions (direct):
Pm (0.082, 0.398, 0.315)
Pm (0.083, 0.767, 0.685)
Pm (0.148, 0.332, 0.815)
Pm (0.233, 0.918, 0.316)
Pm (0.517, 0.333, 0.185)
Pm (0.602, 0.917, 0.684)
Pm (0.667, 0.852, 0.184)
Pm (0.668, 0.483, 0.816)
Hg (0.000, 0.000, 0.000)
Hg (0.750, 0.250, 0.500)
Pt (0.375, 0.125, 0.750)
Pt (0.375, 0.625, 0.250)
Pt (0.375, 0.625, 0.750)
Pt (0.875, 0.625, 0.250)

Computed properties:
**DFT total energy**: -72.5 eV/cell
**E_form**: -695.8 meV/atom
**SG**: No. 122
**Total magnetic moment**: 0.0 μB/f.u.
**Density of states at the Fermi level**: 6.81 states/eV/f.u.



# 4
# PmHg2Pt

An optimized crystal structure of PmHg2Pt (PBE-GGA, Alexandria).

a = 5.001 Å, b = 5.001 Å, c = 5.001 Å
α = 60.00°, β = 60.00°, γ = 60.00°
Positions (direct):
Pm (0.000, 0.000, 0.000)
Hg (0.250, 0.250, 0.250)
Hg (0.750, 0.750, 0.750)
Pt (0.500, 0.500, 0.500)

Computed properties:
**DFT total energy**: -13.2 eV/cell
**E_form**: -443.4 meV/atom
**SG**: No. 225
**Total magnetic moment**: 0.0 μB/f.u.
**Density of states at the Fermi level**: 3.29 states/eV/f.u.



# 5
# PmHgPt2

An optimized crystal structure of PmHgPt2 (PBE-GGA, Alexandria).

a = 3.689 Å, b = 3.689 Å, c = 6.079 Å
α = 90.00°, β = 90.00°, γ = 90.00°
Positions (direct):
Pm (0.000, 0.000, 0.000)
Hg (0.000, 0.000, 0.500)
Pt (0.500, 0.500, 0.263)
Pt (0.500, 0.500, 0.737)

Computed properties:
**DFT total energy**: -19.8 eV/cell
**E_form**: -655.7 meV/atom
**SG**: No. 123
**Total magnetic moment**: 0.0 μB/f.u.
**Density of states at the Fermi level**: 1.13 states/eV/f.u.



# 6
# Pm6HgPt3

An optimized crystal structure of Pm6HgPt3 (PBE-GGA, Alexandria).

a = 9.099 Å, b = 9.099 Å, c = 7.387 Å
α = 90.00°, β = 90.00°, γ = 104.38°
Positions (direct):
Pm (0.009, 0.991, 0.500)
Pm (0.093, 0.530, 0.472)
Pm (0.231, 0.769, 0.838)
Pm (0.300, 0.363, 0.907)
Pm (0.363, 0.300, 0.407)
Pm (0.470, 0.907, 0.472)
Pm (0.530, 0.093, 0.972)
Pm (0.637, 0.700, 0.907)
Pm (0.700, 0.637, 0.407)
Pm (0.769, 0.231, 0.338)
Pm (0.907, 0.470, 0.972)
Pm (0.991, 0.009, 0.000)
Hg (0.179, 0.821, 0.236)
Hg (0.821, 0.179, 0.736)
Pt (0.080, 0.290, 0.210)
Pt (0.290, 0.080, 0.710)
Pt (0.404, 0.596, 0.623)
Pt (0.596, 0.404, 0.123)
Pt (0.710, 0.920, 0.210)
Pt (0.920, 0.710, 0.710)

Computed properties:
**DFT total energy**: -108.3 eV/cell
**E_form**: -721.0 meV/atom
**SG**: No. 36
**Total magnetic moment**: 0.0 μB/f.u.
**Density of states at the Fermi level**: 10.77 states/eV/f.u.



# 7
# Pm5Hg2Pt

An optimized crystal structure of Pm5Hg2Pt (PBE-GGA, Alexandria).

a = 7.261 Å, b = 12.639 Å, c = 5.014 Å
α = 90.00°, β = 90.00°, γ = 90.00°
Positions (direct):
Pm (0.000, 0.000, 0.000)
Pm (0.138, 0.289, 0.000)
Pm (0.178, 0.583, 0.500)
Pm (0.322, 0.083, 0.500)
Pm (0.362, 0.789, 0.000)
Pm (0.500, 0.500, 0.000)
Pm (0.638, 0.211, 0.000)
Pm (0.678, 0.917, 0.500)
Pm (0.822, 0.417, 0.500)
Pm (0.862, 0.711, 0.000)
Hg (0.090, 0.837, 0.500)
Hg (0.410, 0.337, 0.500)
Hg (0.590, 0.663, 0.500)
Hg (0.910, 0.163, 0.500)
Pt (0.000, 0.500, 0.000)
Pt (0.500, 0.000, 0.000)

Computed properties:
**DFT total energy**: -69.4 eV/cell
**E_form**: -537.6 meV/atom
**SG**: No. 55
**Total magnetic moment**: 0.0 μB/f.u.
**Density of states at the Fermi level**: 7.99 states/eV/f.u.



# 8
# Pm4Hg2Pt

An optimized crystal structure of Pm4Hg2Pt (PBE-GGA, Alexandria).

a = 8.689 Å, b = 8.689 Å, c = 6.786 Å
α = 111.35°, β = 111.35°, γ = 26.71°
Positions (direct):
Pm (0.094, 0.094, 0.444)
Pm (0.385, 0.385, 0.047)
Pm (0.615, 0.615, 0.953)
Pm (0.906, 0.906, 0.556)
Hg (0.255, 0.255, 0.299)
Hg (0.745, 0.745, 0.701)
Pt (0.000, 0.000, 0.000)

Computed properties:
**DFT total energy**: -29.2 eV/cell
**E_form**: -503.0 meV/atom
**SG**: No. 12
**Total magnetic moment**: 0.0 μB/f.u.
**Density of states at the Fermi level**: 5.51 states/eV/f.u.



# 9
# PmHg2Pt6

An optimized crystal structure of PmHg2Pt6 (PBE-GGA, Alexandria).

a = 6.481 Å, b = 6.481 Å, c = 6.481 Å
α = 60.00°, β = 60.00°, γ = 60.00°
Positions (direct):
Pm (0.000, 0.000, 0.000)
Hg (0.250, 0.250, 0.250)
Hg (0.750, 0.750, 0.750)
Pt (0.292, 0.292, 0.708)
Pt (0.292, 0.708, 0.292)
Pt (0.292, 0.708, 0.708)
Pt (0.708, 0.292, 0.292)
Pt (0.708, 0.292, 0.708)
Pt (0.708, 0.708, 0.292)

Computed properties:
**DFT total energy**: -38.7 eV/cell
**E_form**: 323.5 meV/atom
**SG**: No. 225
**Total magnetic moment**: 0.0 μB/f.u.
**Density of states at the Fermi level**: 10.53 states/eV/f.u.



# 10
# Pm6HgPt2

An optimized crystal structure of Pm6HgPt2 (PBE-GGA, Alexandria).

a = 8.769 Å, b = 8.769 Å, c = 8.769 Å
α = 113.74°, β = 109.93°, γ = 104.86°
Positions (direct):
Pm (0.040, 0.237, 0.804)
Pm (0.180, 0.289, 0.469)
Pm (0.180, 0.711, 0.891)
Pm (0.330, 0.027, 0.696)
Pm (0.330, 0.634, 0.304)
Pm (0.433, 0.237, 0.196)
Pm (0.567, 0.763, 0.804)
Pm (0.670, 0.366, 0.696)
Pm (0.670, 0.973, 0.304)
Pm (0.820, 0.289, 0.109)
Pm (0.820, 0.711, 0.531)
Pm (0.960, 0.763, 0.196)
Hg (0.000, 0.000, 0.000)
Hg (0.500, 0.500, 0.000)
Pt (0.133, 0.633, 0.500)
Pt (0.343, 0.000, 0.343)
Pt (0.657, 0.000, 0.657)
Pt (0.867, 0.367, 0.500)

Computed properties:
**DFT total energy**: -93.5 eV/cell
**E_form**: -651.4 meV/atom
**SG**: No. 71
**Total magnetic moment**: 0.0 μB/f.u.
**Density of states at the Fermi level**: 9.05 states/eV/f.u.



# 11
# Pm4Hg5Pt2

An optimized crystal structure of Pm4Hg5Pt2 (PBE-GGA, Alexandria).

a = 7.808 Å, b = 3.729 Å, c = 9.762 Å
α = 90.00°, β = 94.01°, γ = 90.00°
Positions (direct):
Pm (0.179, 0.000, 0.355)
Pm (0.229, 0.000, 0.938)
Pm (0.771, 0.000, 0.062)
Pm (0.821, 0.000, 0.645)
Hg (0.171, 0.500, 0.643)
Hg (0.456, 0.500, 0.175)
Hg (0.500, 0.500, 0.500)
Hg (0.544, 0.500, 0.825)
Hg (0.829, 0.500, 0.357)
Pt (0.074, 0.500, 0.137)
Pt (0.926, 0.500, 0.863)

Computed properties:
**DFT total energy**: -40.0 eV/cell
**E_form**: -675.4 meV/atom
**SG**: No. 10
**Total magnetic moment**: 0.0 μB/f.u.
**Density of states at the Fermi level**: 8.54 states/eV/f.u.



# 12
# Pm12HgPt6

An optimized crystal structure of Pm12HgPt6 (PBE-GGA, Alexandria).

a = 8.590 Å, b = 8.590 Å, c = 8.590 Å
α = 101.25°, β = 101.25°, γ = 101.25°
Positions (direct):
Pm (0.071, 0.332, 0.928)
Pm (0.072, 0.929, 0.668)
Pm (0.176, 0.575, 0.423)
Pm (0.332, 0.928, 0.071)
Pm (0.423, 0.176, 0.575)
Pm (0.425, 0.577, 0.824)
Pm (0.575, 0.423, 0.176)
Pm (0.577, 0.824, 0.425)
Pm (0.668, 0.072, 0.929)
Pm (0.824, 0.425, 0.577)
Pm (0.928, 0.071, 0.332)
Pm (0.929, 0.668, 0.072)
Hg (0.000, 0.000, 0.000)
Pt (0.139, 0.309, 0.612)
Pt (0.309, 0.612, 0.139)
Pt (0.388, 0.861, 0.691)
Pt (0.612, 0.139, 0.309)
Pt (0.691, 0.388, 0.861)
Pt (0.861, 0.691, 0.388)

Computed properties:
**DFT total energy**: -106.8 eV/cell
**E_form**: -698.7 meV/atom
**SG**: No. 148
**Total magnetic moment**: 0.0 μB/f.u.
**Density of states at the Fermi level**: 21.25 states/eV/f.u.



# 13
# Pm3Hg3Pt2

An optimized crystal structure of Pm3Hg3Pt2 (PBE-GGA, Alexandria).

a = 7.763 Å, b = 7.763 Å, c = 3.785 Å
α = 90.00°, β = 90.00°, γ = 120.00°
Positions (direct):
Pm (0.000, 0.415, 0.000)
Pm (0.415, 0.000, 0.000)
Pm (0.585, 0.585, 0.000)
Hg (0.000, 0.769, 0.500)
Hg (0.231, 0.231, 0.500)
Hg (0.769, 0.000, 0.500)
Pt (0.333, 0.667, 0.500)
Pt (0.667, 0.333, 0.500)

Computed properties:
**DFT total energy**: -33.6 eV/cell
**E_form**: -800.9 meV/atom
**SG**: No. 189
**Total magnetic moment**: 0.0 μB/f.u.
**Density of states at the Fermi level**: 4.35 states/eV/f.u.



# 14
# Pm5HgPt4

An optimized crystal structure of Pm5HgPt4 (PBE-GGA, Alexandria).

a = 3.609 Å, b = 3.609 Å, c = 18.416 Å
α = 90.00°, β = 90.00°, γ = 90.00°
Positions (direct):
Pm (0.000, 0.000, 0.000)
Pm (0.000, 0.000, 0.193)
Pm (0.000, 0.000, 0.384)
Pm (0.000, 0.000, 0.616)
Pm (0.000, 0.000, 0.807)
Hg (0.500, 0.500, 0.500)
Pt (0.500, 0.500, 0.097)
Pt (0.500, 0.500, 0.294)
Pt (0.500, 0.500, 0.706)
Pt (0.500, 0.500, 0.903)

Computed properties:
**DFT total energy**: -57.8 eV/cell
**E_form**: -958.3 meV/atom
**SG**: No. 123
**Total magnetic moment**: 0.0 μB/f.u.
**Density of states at the Fermi level**: 7.01 states/eV/f.u.



# 15
# PmPuHgPt

An optimized crystal structure of PmPuHgPt (PBE-GGA, Alexandria).

a = 5.182 Å, b = 5.182 Å, c = 5.182 Å
α = 60.00°, β = 60.00°, γ = 60.00°
Positions (direct):
Pm (0.000, 0.000, 0.000)
Pu (0.500, 0.500, 0.500)
Hg (0.250, 0.250, 0.250)
Pt (0.750, 0.750, 0.750)

Computed properties:
**DFT total energy**: -27.6 eV/cell
**E_form**: -538.0 meV/atom
**SG**: No. 216
**Total magnetic moment**: 5.8 μB/f.u.
**Density of states at the Fermi level**: 9.91 states/eV/f.u.



# 16
# Pm2Si4HgPt3

An optimized crystal structure of Pm2Si4HgPt3 (PBE-GGA, Alexandria).

a = 4.297 Å, b = 4.297 Å, c = 10.051 Å
α = 90.00°, β = 90.00°, γ = 90.00°
Positions (direct):
Pm (0.000, 0.500, 0.242)
Pm (0.500, 0.000, 0.758)
Si (0.000, 0.000, 0.000)
Si (0.000, 0.500, 0.647)
Si (0.500, 0.000, 0.353)
Si (0.500, 0.500, 0.000)
Hg (0.000, 0.000, 0.500)
Pt (0.000, 0.500, 0.885)
Pt (0.500, 0.000, 0.115)
Pt (0.500, 0.500, 0.500)

Computed properties:
**DFT total energy**: -58.5 eV/cell
**Raw formation energy**: -8.93 eV per formula unit
**SG**: No. 115
**Total magnetic moment**: 0.0 μB/f.u.
**Density of states at the Fermi level**: 3.51 states/eV/f.u.



# 17
# PmSmHgPt

An optimized crystal structure of PmSmHgPt (PBE-GGA, Alexandria).

a = 5.209 Å, b = 5.209 Å, c = 5.209 Å
α = 60.00°, β = 60.00°, γ = 60.00°
Positions (direct):
Pm (0.000, 0.000, 0.000)
Sm (0.500, 0.500, 0.500)
Hg (0.750, 0.750, 0.750)
Pt (0.250, 0.250, 0.250)

Computed properties:
**DFT total energy**: -18.8 eV/cell
**E_form**: -744.9 meV/atom
**SG**: No. 216
**Total magnetic moment**: 0.0 μB/f.u.
**Density of states at the Fermi level**: 3.16 states/eV/f.u.



# 18
# Pm2Sn3HgPt4

An optimized crystal structure of Pm2Sn3HgPt4 (PBE-GGA, Alexandria).

a = 4.515 Å, b = 4.515 Å, c = 11.071 Å
α = 90.00°, β = 90.00°, γ = 90.00°
Positions (direct):
Pm (0.000, 0.500, 0.250)
Pm (0.500, 0.000, 0.750)
Sn (0.000, 0.000, 0.000)
Sn (0.000, 0.500, 0.627)
Sn (0.500, 0.000, 0.373)
Hg (0.500, 0.500, 0.000)
Pt (0.000, 0.000, 0.500)
Pt (0.000, 0.500, 0.858)
Pt (0.500, 0.000, 0.142)
Pt (0.500, 0.500, 0.500)

Computed properties:
**DFT total energy**: -53.3 eV/cell
**E_form**: -727.7 meV/atom
**SG**: No. 115
**Total magnetic moment**: 0.0 μB/f.u.
**Density of states at the Fermi level**: 5.78 states/eV/f.u.



# 19
# TbPmHgPt

An optimized crystal structure of TbPmHgPt (PBE-GGA, Alexandria).

a = 5.168 Å, b = 5.168 Å, c = 5.168 Å
α = 60.00°, β = 60.00°, γ = 60.00°
Positions (direct):
Tb (0.000, 0.000, 0.000)
Pm (0.500, 0.500, 0.500)
Hg (0.750, 0.750, 0.750)
Pt (0.250, 0.250, 0.250)

Computed properties:
**DFT total energy**: -18.8 eV/cell
**E_form**: -769.0 meV/atom
**SG**: No. 216
**Total magnetic moment**: 0.0 μB/f.u.
**Density of states at the Fermi level**: 2.67 states/eV/f.u.



# 20
# PmTmHgPt

An optimized crystal structure of PmTmHgPt (PBE-GGA, Alexandria).

a = 5.128 Å, b = 5.128 Å, c = 5.128 Å
α = 60.00°, β = 60.00°, γ = 60.00°
Positions (direct):
Pm (0.000, 0.000, 0.000)
Tm (0.500, 0.500, 0.500)
Hg (0.250, 0.250, 0.250)
Pt (0.750, 0.750, 0.750)

Computed properties:
**DFT total energy**: -18.7 eV/cell
**E_form**: -779.8 meV/atom
**SG**: No. 216
**Total magnetic moment**: 0.0 μB/f.u.
**Density of states at the Fermi level**: 2.95 states/eV/f.u.



# 21
# PmYHgPt

An optimized crystal structure of PmYHgPt (PBE-GGA, Alexandria).

a = 5.164 Å, b = 5.164 Å, c = 5.164 Å
α = 60.00°, β = 60.00°, γ = 60.00°
Positions (direct):
Pm (0.000, 0.000, 0.000)
Y (0.500, 0.500, 0.500)
Hg (0.750, 0.750, 0.750)
Pt (0.250, 0.250, 0.250)

Computed properties:
**DFT total energy**: -20.6 eV/cell
**E_form**: -772.6 meV/atom
**SG**: No. 216
**Total magnetic moment**: 0.0 μB/f.u.
**Density of states at the Fermi level**: 2.79 states/eV/f.u.



# 22
# Pm2Zn3HgPt4

An optimized crystal structure of Pm2Zn3HgPt4 (PBE-GGA, Alexandria).

a = 4.090 Å, b = 4.090 Å, c = 11.768 Å
α = 90.00°, β = 90.00°, γ = 90.00°
Positions (direct):
Pm (0.000, 0.500, 0.239)
Pm (0.500, 0.000, 0.761)
Zn (0.000, 0.500, 0.871)
Zn (0.500, 0.000, 0.129)
Zn (0.500, 0.500, 0.500)
Hg (0.000, 0.000, 0.500)
Pt (0.000, 0.000, 0.000)
Pt (0.000, 0.500, 0.660)
Pt (0.500, 0.000, 0.340)
Pt (0.500, 0.500, 0.000)

Computed properties:
**DFT total energy**: -44.8 eV/cell
**E_form**: -698.1 meV/atom
**SG**: No. 115
**Total magnetic moment**: 0.0 μB/f.u.
**Density of states at the Fermi level**: 4.31 states/eV/f.u.